Compound: YPBrO2
Source: Alexandria via LeMat-Bulk
Functional: PBE
Structure: optimized geometry

Computed properties:
excess energy over the best structure of this formula in the dataset	0.4762	eV per atom
DFT total energy	-0.363	Ry per atom
density of states at the Fermi level	0.456	states/eV per atom
raw formation energy	-0.248	eV per atom

a b c (Å): 4.1133 4.1133 4.9098
angles (deg): 90.00 90.00 90.00
Space group P4/mmm (No. 123)
One atom of each set of equivalent atoms:
Y (0.0000, 0.0000, 0.0000) [1 per cell]
P (0.5000, 0.5000, 0.0000) [1 per cell]
Br (0.5000, 0.5000, 0.5000) [1 per cell]
O (0.0000, 0.5000, 0.5000) [2 per cell]

---

Compound: YPBrO4
Source: Alexandria via LeMat-Bulk
Functional: PBE
Structure: optimized geometry

Computed properties:
DFT total energy	-0.530	Ry per atom
raw formation energy	-2.448	eV per atom

a b c (Å): 11.2079 6.2205 6.5694
angles (deg): 90.00 100.82 90.00
Space group C2/m (No. 12)
One atom of each set of equivalent atoms:
Y (0.2002, 0.0000, 0.3208) [4 per cell]
P (0.1361, 0.0000, 0.7580) [4 per cell]
Br (0.0257, 0.5000, 0.1772) [4 per cell]
O (0.0021, 0.0000, 0.2666) [4 per cell]
O (0.1800, 0.1962, 0.6372) [8 per cell]
O (0.1982, 0.0000, 0.9858) [4 per cell]